Density functional theory data (PBE) for BiIr2Pb after structural relaxation.

a b c (Å): 6.850 6.850 6.850
angles (deg): 90.00 90.00 90.00
Space group Fm-3m (No. 225)
Inequivalent atoms, fractional coordinates:
Bi  0.000  0.000  0.000 x4
Ir  0.250  0.250  0.250 x8
Pb  0.000  0.000  0.500 x4

Summary:
Fermi-level density of states (states/eV per atom): 1.21
Total magnetization (μB/f.u.): 0.00
Formation energy from the elements (eV/atom): 0.581